Record 1
Here is an optimized crystal structure of V2CuCl8 from Alexandria via LeMat-Bulk. Energies are from GGA-PBE.

Summary:
Its crystal system is monoclinic. For the volume, the calculation gives 340.03 Å³ per cell. Its total DFT energy (no corrections) is -4.3590 eV per atom. The formation energy from raw total energies is -0.99 eV per atom. The space-group type is C2/m.

abc: 6.109 7.504 7.504
angles: 81.35 89.18 89.18
Sites, in units of the cell vectors:
Cu1 0.000 0.000 0.000
V1 0.347 0.199 0.199
V2 0.653 0.801 0.801
Cl1 0.789 0.718 0.073
Cl2 0.211 0.282 0.927
Cl3 0.295 0.817 0.817
Cl4 0.705 0.183 0.183
Cl5 0.789 0.073 0.718
Cl6 0.246 0.382 0.382
Cl7 0.754 0.618 0.618
Cl8 0.211 0.927 0.282

Record 2
Here is an optimized crystal structure of LaP2Se from Alexandria via LeMat-Bulk. Energies are from GGA-PBE.

Summary:
Its crystal system is cubic. For the volume, the calculation gives 87.04 Å³ per cell. Its total DFT energy (no corrections) is -5.1099 eV per atom. The formation energy from raw total energies is -0.30 eV per atom. The space-group type is F-43m.

abc: 4.975 4.975 4.975
angles: 60.00 60.00 60.00
Sites, in units of the cell vectors:
P1 0.250 0.250 0.250
P2 0.000 0.000 0.000
La1 0.500 0.500 0.500
Se1 0.750 0.750 0.750

Record 3
Here is an optimized crystal structure of CaSb3N from Alexandria via LeMat-Bulk. Energies are from GGA-PBE.

Summary:
Its crystal system is cubic. For the volume, the calculation gives 114.53 Å³ per cell. Its energy above the most stable polymorph in this dataset is 0 meV/atom. Its total DFT energy (no corrections) is -4.4006 eV per atom. The formation energy from raw total energies is 0.14 eV per atom. The space-group type is Pm-3m.

abc: 4.856 4.856 4.856
angles: 90.00 90.00 90.00
Sites, in units of the cell vectors:
Sb1 0.000 0.000 0.500
Sb2 0.500 0.000 0.000
Sb3 0.000 0.500 0.000
Ca1 0.500 0.500 0.500
N1 0.000 0.000 0.000

Record 4
Here is an optimized crystal structure of Li2BO2 from Alexandria via LeMat-Bulk. Energies are from GGA-PBE.

Summary:
Its crystal system is monoclinic. For the volume, the calculation gives 107.33 Å³ per cell. Its total DFT energy (no corrections) is -5.7340 eV per atom. The formation energy from raw total energies is -1.65 eV per atom. The space-group type is C2/m.

abc: 5.176 5.322 5.329
angles: 62.77 60.95 60.91
Sites, in units of the cell vectors:
O1 0.501 0.798 0.201
O2 0.499 0.202 0.799
O3 0.806 0.695 0.693
O4 0.194 0.305 0.307
Li1 0.680 0.320 0.321
Li2 0.320 0.680 0.679
Li3 0.000 0.733 0.266
Li4 0.000 0.267 0.734
B1 0.370 0.130 0.130
B2 0.630 0.870 0.870